# Y2TePd2

A relaxed structure of Y2TePd2 (PBE-GGA, Alexandria via LeMat-Bulk).

Results
Uncorrected formation energy in eV per atom: -0.996
Calculated volume in A^3/atom: 22.74
Distance to the lowest polymorph of the same formula in eV per atom: 0.000

abc: 7.696 7.696 3.838
angles: 90.00 90.00 90.00
Fractional positions:
1 Y 0.171 0.329 0.000
2 Y 0.329 0.829 0.000
3 Y 0.671 0.171 0.000
4 Y 0.829 0.671 0.000
5 Te 0.000 0.000 0.500
6 Te 0.500 0.500 0.500
7 Pd 0.126 0.626 0.500
8 Pd 0.374 0.126 0.500
9 Pd 0.626 0.874 0.500
10 Pd 0.874 0.374 0.500